1.
Material: Pr3PtAu
Method: DFT, PBE-GGA
State: relaxed

Calculated values
Density of states at the Fermi level in states/eV per cell: 21.33
Uncorrected energy in eV for the cell shown: -109.72

```
Pr3PtAu
1.0
7.6314 0.0000 0.0000
0.0000 4.7256 0.0000
0.0000 0.0000 16.0078
Pr Pt Au
12 4 4
Cartesian
0.0961 1.1814 1.6581
0.9992 3.5442 7.0878
1.3927 1.1814 11.5981
2.4230 3.5442 3.5942
2.8166 1.1814 15.0917
3.7196 3.5442 9.6621
3.9119 1.1814 6.3458
4.8149 3.5442 0.9161
5.2084 1.1814 12.4137
6.2387 3.5442 4.4098
6.6323 1.1814 8.9200
7.5353 3.5442 14.3497
1.7774 3.5442 0.7150
2.0383 1.1814 8.7189
5.5932 3.5442 7.2889
5.8540 1.1814 15.2929
0.8174 1.1814 4.8758
2.9983 3.5442 12.8797
4.6331 1.1814 3.1281
6.8140 3.5442 11.1320
```

2.
Material: NaDy2MgS4
Method: DFT, PBE-GGA
State: relaxed

Calculated values
Density of states at the Fermi level in states/eV per cell: 2.87
Uncorrected energy in eV for the cell shown: -42.34

```
NaDy2MgS4
1.0
6.7210 0.0000 0.0000
0.0000 3.8646 0.0000
-2.1862 0.0000 6.4150
Na Dy Mg S
1 2 1 4
Cartesian
0.0000 0.0000 0.0000
-1.0931 1.9323 3.2075
2.2674 0.0000 3.2075
3.3605 1.9323 0.0000
0.0959 0.0000 4.8676
1.2023 1.9323 1.6113
4.4389 0.0000 1.5474
3.3325 1.9323 4.8037
```

3.
Material: ZrCd2Pt
Method: DFT, PBE-GGA
State: relaxed

Calculated values
Density of states at the Fermi level in states/eV per cell: 2.70
Uncorrected energy in eV for the cell shown: -17.50

```
ZrCd2Pt
1.0
5.0457 -1.7450 0.0000
5.0457 1.7450 0.0000
-1.3028 0.0000 4.5233
Zr Cd Pt
1 2 1
Cartesian
0.0000 0.0000 0.0000
1.4524 0.0000 3.3259
7.3363 0.0000 1.1974
4.3943 0.0000 2.2617
```